## FeAs2Ir (PBE-GGA)

Data for a geometry-optimized FeAs2Ir structure.

The structure in extended XYZ format:
```
4
Lattice="2.908 0.000 0.000 0.000 2.908 0.000 0.000 0.000 7.804" Properties=species:S:1:pos:R:3 pbc="T T T"
As 0.000 0.000 7.295
As 1.454 1.454 2.557
Ir 1.454 1.454 5.739
Fe 0.000 0.000 3.919
```

Formation energy from the elements: 0.023 eV per atom
Excess energy over the best structure of this formula in the dataset: 19 meV per atom
Symmetry: No. 99

***

## VGeSN2 (PBE-GGA)

Data for a geometry-optimized VGeSN2 structure.

The structure in extended XYZ format:
```
5
Lattice="3.766 0.000 0.000 0.000 3.766 0.000 0.000 0.000 4.979" Properties=species:S:1:pos:R:3 pbc="T T T"
V 0.000 0.000 0.000
N 1.883 0.000 0.000
N 0.000 1.883 0.000
Ge 1.883 1.883 2.490
S 0.000 0.000 2.490
```

Excess energy over the best structure of this formula in the dataset: 0 meV per atom
Symmetry: No. 123
Energy relative to the elements, uncorrected: 0.2562 eV per atom

***

## La2Sm6Ho3In (PBE-GGA)

Data for a geometry-optimized La2Sm6Ho3In structure.

The structure in extended XYZ format:
```
12
Lattice="-4.177 3.965 2.255 -1.830 -4.793 -3.453 0.987 -6.286 10.051" Properties=species:S:1:pos:R:3 pbc="T T T"
La -3.394 1.043 0.351
La -2.613 -1.872 -1.549
Sm -0.850 -3.216 1.314
Sm -3.407 -6.747 5.682
Sm -1.613 -0.367 3.171
Sm -4.170 -3.899 7.538
Sm -4.309 -2.220 1.634
Sm -0.710 -4.895 7.219
In 0.000 0.000 0.000
Ho -3.291 -0.642 6.326
Ho -2.510 -3.557 4.426
Ho -1.729 -6.473 2.526
```

Formation energy from the elements: -0.061 eV per atom
Symmetry: No. 12

***

## BeTc3Pb (PBE-GGA)

Data for a geometry-optimized BeTc3Pb structure.

The structure in extended XYZ format:
```
5
Lattice="5.055 0.000 0.000 0.000 5.055 0.000 0.000 0.000 5.055" Properties=species:S:1:pos:R:3 pbc="T T T"
Tc 0.000 0.000 2.528
Tc 0.000 2.528 0.000
Tc 2.528 0.000 0.000
Be 2.528 2.528 2.528
Pb 0.000 0.000 0.000
```

Formation energy from the elements: 2.773 eV per atom
Excess energy over the best structure of this formula in the dataset: 2055 meV per atom
Symmetry: No. 221

***

## MnRe2Rh (PBE-GGA)

Data for a geometry-optimized MnRe2Rh structure.

The structure in extended XYZ format:
```
4
Lattice="2.714 0.000 0.000 0.000 2.714 0.000 0.000 0.000 7.619" Properties=species:S:1:pos:R:3 pbc="T T T"
Rh 0.000 0.000 3.861
Re 0.000 0.000 7.507
Re 1.357 1.357 1.942
Mn 1.357 1.357 5.737
```

Formation energy from the elements: 0.028 eV per atom
Excess energy over the best structure of this formula in the dataset: 53 meV per atom
Symmetry: No. 99

***

## Na4TmNp3Se8 (PBE-GGA)

Data for a geometry-optimized Na4TmNp3Se8 structure.

The structure in extended XYZ format:
```
16
Lattice="-2.478 0.755 7.939 -7.269 -3.933 -1.895 7.270 -3.710 -1.771" Properties=species:S:1:pos:R:3 pbc="T T T"
Se -2.509 -0.909 1.461
Se -2.406 -4.476 -0.326
Se 0.031 -5.979 2.813
Se -3.609 -4.115 3.657
Se 1.292 -6.363 -1.226
Se -0.071 -2.413 4.599
Se 1.131 -2.773 0.617
Se -3.769 -0.525 5.500
Np -4.874 -1.589 3.022
Np -1.239 -3.444 2.137
Np 0.000 -3.822 -1.833
Na -1.239 0.377 3.970
Na 0.000 0.000 0.000
Na 2.396 -1.478 3.084
Na 3.635 -1.855 -0.885
Tm -3.635 -1.966 -0.947
```

Symmetry: No. 166
Energy relative to the elements, uncorrected: -1.3172 eV per atom

***

Repeat the second record exactly.
## VGeSN2 (PBE-GGA)

Data for a geometry-optimized VGeSN2 structure.

The structure in extended XYZ format:
```
5
Lattice="3.766 0.000 0.000 0.000 3.766 0.000 0.000 0.000 4.979" Properties=species:S:1:pos:R:3 pbc="T T T"
V 0.000 0.000 0.000
N 1.883 0.000 0.000
N 0.000 1.883 0.000
Ge 1.883 1.883 2.490
S 0.000 0.000 2.490
```

Excess energy over the best structure of this formula in the dataset: 0 meV per atom
Symmetry: No. 123
Energy relative to the elements, uncorrected: 0.2562 eV per atom